# 1
A plane-wave DFT calculation with PBE-GGA was carried out for a relaxed Tc2HgCl crystal.

The value obtained for the distance to the lowest polymorph of the same formula is 664.6 meV per atom. The value obtained for the formation energy (no corrections) is 280 kJ/mol of formula units.

Cell lengths 4.5577, 3.8461, 4.8014 Å; angles 94.73, 90.00, 90.00 degrees
Atoms (fractional coordinates):
Cl 0.5000 0.2500 0.2500
Hg 0.5000 0.7500 0.7500
Tc 0.0000 0.0885 0.9221
Tc 0.0000 0.4115 0.5779

# 2
A plane-wave DFT calculation with PBE-GGA was carried out for a relaxed Pa2Be2Ir5 crystal.

For the formation enthalpy at 0 K, the calculation gives -0.775 eV/atom.

Cell lengths 4.0748, 4.0748, 8.5688 Å; angles 90.00, 90.00, 90.00 degrees
Atoms (fractional coordinates):
Pa 0.0000 0.0000 0.0000
Pa 0.0000 0.0000 0.5000
Be 0.5000 0.5000 0.1329
Be 0.5000 0.5000 0.8671
Ir 0.5000 0.0000 0.2562
Ir 0.5000 0.0000 0.7438
Ir 0.0000 0.5000 0.2562
Ir 0.0000 0.5000 0.7438
Ir 0.5000 0.5000 0.5000

# 3
A plane-wave DFT calculation with PBE-GGA was carried out for a relaxed CaZrSn2 crystal.

For the formation enthalpy at 0 K, the calculation gives 0.079 eV/atom.

Cell lengths 5.0338, 5.0338, 10.6186 Å; angles 76.29, 76.29, 90.00 degrees
Atoms (fractional coordinates):
Ca 0.5000 0.5000 0.0000
Ca 0.2500 0.7500 0.5000
Sn 0.7037 0.1250 0.2500
Sn 0.0463 0.6250 0.2500
Sn 0.3750 0.2963 0.7500
Sn 0.8750 0.9537 0.7500
Zr 0.0000 0.0000 0.0000
Zr 0.7500 0.2500 0.5000

# 4
A plane-wave DFT calculation with PBE-GGA was carried out for a relaxed CrAg2Au8 crystal.

For the formation enthalpy at 0 K, the calculation gives 0.004 eV/atom.

Cell lengths 5.0500, 5.0598, 7.7968 Å; angles 84.06, 88.81, 99.00 degrees
Atoms (fractional coordinates):
Cr 0.9995 0.0002 0.9698
Ag 0.3629 0.1840 0.2429
Ag 0.6361 0.8166 0.6965
Au 0.9111 0.4541 0.1465
Au 0.1780 0.0901 0.6117
Au 0.2717 0.6371 0.4263
Au 0.5429 0.2657 0.8803
Au 0.7273 0.3634 0.5131
Au 0.8210 0.9104 0.3277
Au 0.0879 0.5464 0.7929
Au 0.4562 0.7348 0.0590

# 5
A plane-wave DFT calculation with PBE-GGA was carried out for a relaxed HoLuZnCu crystal.

For the formation enthalpy at 0 K, the calculation gives -0.307 eV/atom.

Cell lengths 4.9101, 4.9101, 4.9101 Å; angles 60.00, 60.00, 60.00 degrees
Atoms (fractional coordinates):
Zn 0.7500 0.7500 0.7500
Lu 0.5000 0.5000 0.5000
Ho 0.0000 0.0000 0.0000
Cu 0.2500 0.2500 0.2500

# 6
A plane-wave DFT calculation with PBE-GGA was carried out for a relaxed PuBeNi2H8 crystal.

The total DFT energy (no corrections) is -4.79 eV per atom.

Cell lengths 4.0955, 4.0955, 5.9984 Å; angles 90.00, 90.00, 120.00 degrees
Atoms (fractional coordinates):
Pu 0.0000 0.0000 0.0000
Be 0.0000 0.0000 0.5000
Ni 0.6667 0.3333 0.4544
Ni 0.3333 0.6667 0.5456
H 0.3333 0.6667 0.0095
H 0.3191 0.3359 0.3350
H 0.6641 0.9832 0.3350
H 0.6667 0.3333 0.9905
H 0.3359 0.0168 0.6650
H 0.6809 0.6641 0.6650
H 0.9832 0.3191 0.6650
H 0.0168 0.6809 0.3350

# 7
A plane-wave DFT calculation with PBE-GGA was carried out for a relaxed CuICl crystal.

The value obtained for the distance to the lowest polymorph of the same formula is 30.9 meV per atom. The value obtained for the formation energy (no corrections) is -81 kJ/mol of formula units.

Cell lengths 5.3433, 5.7161, 6.0641 Å; angles 90.40, 78.16, 90.04 degrees
Atoms (fractional coordinates):
I 0.3044 0.3323 0.3835
I 0.7252 0.3360 0.8880
Cu 0.0153 0.6314 0.6358
Cu 0.5151 0.0631 0.6352
Cl 0.2209 0.8403 0.8597
Cl 0.8092 0.8363 0.4118

# 8
A plane-wave DFT calculation with PBE-GGA was carried out for a relaxed CdOsBr2 crystal.

The value obtained for the distance to the lowest polymorph of the same formula is 699.6 meV per atom. The value obtained for the formation energy (no corrections) is 360 kJ/mol of formula units.

Cell lengths 3.1965, 4.5268, 5.9992 Å; angles 90.00, 90.00, 90.00 degrees
Atoms (fractional coordinates):
Os 0.0000 0.5000 0.5000
Br 0.0000 0.0000 0.0000
Br 0.5000 0.0000 0.5000
Cd 0.5000 0.5000 0.0000